[1]
AsH2I3 | PBE | optimized geometry

Lattice parameters (Å, degrees): 11.6921 11.6921 5.7914 101.63 101.63 108.89
Last column: nearest neighbours and their distance in Å.
Positions (direct):
As (0.2486, 0.7514, 0.7500)  2 H 1.53
As (0.7514, 0.2486, 0.2500)  2 H 1.53
H (0.2459, 0.6401, 0.5546)  1 As 1.53
H (0.3599, 0.7541, 0.9454)  1 As 1.53
H (0.6401, 0.2459, 0.0546)  1 As 1.53
H (0.7541, 0.3599, 0.4454)  1 As 1.53
I (0.0599, 0.6164, 0.9158)  1 As 2.74
I (0.3836, 0.9401, 0.5842)  1 As 2.74
I (0.4828, 0.5172, 0.7500)  2 I 2.97
I (0.5172, 0.4828, 0.2500)  2 I 2.97
I (0.6164, 0.0599, 0.4158)  1 As 2.74
I (0.9401, 0.3836, 0.0842)  1 As 2.74

As for the total energy: -2.646 eV per atom. The excess energy over the best structure of this formula in the dataset is 0 meV per atom.

[2]
AsHI3 | PBE | optimized geometry

Lattice parameters (Å, degrees): 5.0166 5.0166 5.0166 90.00 90.00 90.00
Last column: nearest neighbours and their distance in Å.
Positions (direct):
As (0.0000, 0.0000, 0.0000)  12 I 3.55
H (0.5000, 0.5000, 0.5000)  6 I 2.51
I (0.0000, 0.5000, 0.5000)  2 H 2.51
I (0.5000, 0.0000, 0.5000)  2 H 2.51
I (0.5000, 0.5000, 0.0000)  2 H 2.51

As for the total energy: -1.650 eV per atom. The excess energy over the best structure of this formula in the dataset is 841 meV per atom.

[3]
As3HI | PBE | optimized geometry

Lattice parameters (Å, degrees): 4.5263 4.5263 4.5263 90.00 90.00 90.00
Last column: nearest neighbours and their distance in Å.
Positions (direct):
As (0.0000, 0.0000, 0.5000)  2 H 2.26
As (0.0000, 0.5000, 0.0000)  2 H 2.26
As (0.5000, 0.0000, 0.0000)  2 H 2.26
H (0.0000, 0.0000, 0.0000)  6 As 2.26
I (0.5000, 0.5000, 0.5000)  12 As 3.20

As for the total energy: -2.896 eV per atom. The excess energy over the best structure of this formula in the dataset is 0 meV per atom.

[4]
As2H5I2 | PBE | optimized geometry

Lattice parameters (Å, degrees): 10.8871 10.8871 10.8871 63.93 147.35 126.70
Last column: nearest neighbours and their distance in Å.
Positions (direct):
As (0.0000, 0.0000, 0.0000)  2 H 1.53
As (0.0000, 0.5000, 0.5000)  2 H 1.53
As (0.3360, 0.1925, 0.6435)  3 H 1.53-1.54
As (0.5491, 0.6925, 0.3565)  3 H 1.53-1.54
H (0.1411, 0.0383, 0.6028)  1 As 1.53
H (0.2031, 0.1632, 0.4186)  1 As 1.54
H (0.2031, 0.2845, 0.5399)  1 As 1.54
H (0.2611, 0.1405, 0.1861)  1 As 1.53
H (0.2611, 0.5750, 0.6206)  1 As 1.53
H (0.4354, 0.5383, 0.3972)  1 As 1.53
H (0.7446, 0.6632, 0.4601)  1 As 1.54
H (0.7446, 0.7845, 0.5814)  1 As 1.54
H (0.9544, 0.0750, 0.8139)  1 As 1.53
H (0.9544, 0.6405, 0.3794)  1 As 1.53
I (0.1994, 0.5812, 0.8670)  1 As 2.77
I (0.1994, 0.8325, 0.1182)  1 As 2.77
I (0.7143, 0.0812, 0.8818)  1 As 2.77
I (0.7143, 0.3325, 0.1330)  1 As 2.77

As for the total energy: -3.154 eV per atom.

[5]
AsHI4 | PBE | optimized geometry

Lattice parameters (Å, degrees): 5.8650 9.6800 10.0011 90.00 97.55 90.00
Last column: nearest neighbours and their distance in Å.
Positions (direct):
As (0.0534, 0.2500, 0.0402)  3 I 2.61-2.63
As (0.9466, 0.7500, 0.9598)  3 I 2.61-2.63
H (0.1295, 0.7500, 0.5813)  1 I 1.64
H (0.8705, 0.2500, 0.4187)  1 I 1.64
I (0.0975, 0.0459, 0.2125)  1 As 2.61
I (0.0975, 0.4541, 0.2125)  1 As 2.61
I (0.3036, 0.7500, 0.4660)  1 H 1.64
I (0.4577, 0.2500, 0.9544)  1 As 2.63
I (0.5423, 0.7500, 0.0456)  1 As 2.63
I (0.6964, 0.2500, 0.5340)  1 H 1.64
I (0.9025, 0.5459, 0.7875)  1 As 2.61
I (0.9025, 0.9541, 0.7875)  1 As 2.61

As for the total energy: -2.455 eV per atom. The excess energy over the best structure of this formula in the dataset is 0 meV per atom.

[6]
AsHI3 | PBE | optimized geometry

Lattice parameters (Å, degrees): 3.7836 10.5083 9.1092 90.00 90.50 90.00
Last column: nearest neighbours and their distance in Å.
Positions (direct):
As (0.0008, 0.2500, 0.2609)  1 H 1.55
As (0.9992, 0.7500, 0.7391)  1 H 1.55
H (0.0024, 0.7500, 0.9090)  1 As 1.55
H (0.9976, 0.2500, 0.0910)  1 As 1.55
I (0.0005, 0.7500, 0.2369)  1 H 2.99
I (0.4991, 0.5468, 0.7412)  2 As 2.85
I (0.4991, 0.9532, 0.7412)  2 As 2.85
I (0.5009, 0.0468, 0.2588)  2 As 2.85
I (0.5009, 0.4532, 0.2588)  2 As 2.85
I (0.9995, 0.2500, 0.7631)  1 H 2.99

As for the total energy: -2.491 eV per atom. The excess energy over the best structure of this formula in the dataset is 0 meV per atom.